# MgSb, optimized geometry, DFT PBE
# * theoretical density: 4.4 Mg/m³
# * calculated volume: 27.4 A^3/atom
# * total DFT energy (no corrections): -3.0875 eV per atom
data_MgSb
_chemical_formula_sum 'Mg2 Sb2'
_cell_length_a 4.4234
_cell_length_b 4.4234
_cell_length_c 6.4725
_cell_angle_alpha 90.00
_cell_angle_beta 90.00
_cell_angle_gamma 120.00
_symmetry_space_group_name_H-M 'P 63/m m c'
_symmetry_Int_Tables_number 194
_symmetry_space_group_name_Hall '-P 6c 2c'
loop_
_atom_site_label
_atom_site_type_symbol
_atom_site_fract_x
_atom_site_fract_y
_atom_site_fract_z
Mg1 Mg 0.3333 0.6667 0.2500
Sb1 Sb 0.0000 0.0000 0.0000